[1]
DFT (PBE) results for a relaxed LiSiTe4 crystal.

a b c (Å): 6.3544 6.3544 6.3544
angles (deg): 60.00 60.00 60.00
Site moments in Bohr magnetons follow the coordinates.
Atoms (fractional coordinates):
Te  0.3746  0.3746  0.3746  0.00
Li  0.7500  0.7500  0.7500  0.01
Te  0.8763  0.3746  0.3746  0.00
Si  0.0000  0.0000  0.0000  0.12
Te  0.3746  0.3746  0.8763  0.00
Te  0.3746  0.8763  0.3746  0.00

Calculated values
N(E_F): 0.793 states/eV per atom
ΔE to the lowest computed polymorph: 60.2 kJ/mol of atoms
magnetization: 0.481 μB per formula unit
E_form (uncorrected): 0.511 eV per atom
electronic total energy: -2.806 eV per atom
space group: F-43m, No. 216

[2]
DFT (PBE) results for a relaxed Rb2TeI6Cl crystal.

a b c (Å): 9.0977 9.0977 8.6149
angles (deg): 58.13 58.13 90.00
Atoms (fractional coordinates):
Cl  0.5000  0.5000  0.0000
I  0.2305  0.2305  0.0000
I  0.7695  0.7695  0.0000
I  0.7695  0.2305  0.0000
I  0.2601  0.2601  0.4798
I  0.2305  0.7695  0.0000
Rb  0.7500  0.2500  0.5000
I  0.7399  0.7399  0.5202
Te  0.0000  0.0000  0.0000
Rb  0.2500  0.7500  0.5000

Calculated values
N(E_F): 0.171 states/eV per atom
magnetization: 0.000 μB per formula unit
E_form (uncorrected): -0.660 eV per atom
electronic total energy: -2.282 eV per atom
space group: I4/mmm, No. 139

[3]
DFT (PBE) results for a relaxed Pm12Pr3Sc crystal.

a b c (Å): 5.1492 5.1492 20.5576
angles (deg): 90.00 90.00 90.00
Atoms (fractional coordinates):
Pm  0.5000  0.0000  0.3732
Pm  0.5000  0.5000  0.2457
Pr  0.0000  0.0000  0.2463
Pm  0.5000  0.0000  0.8806
Pm  0.0000  0.5000  0.6268
Pm  0.0000  0.5000  0.1194
Pm  0.5000  0.5000  0.0000
Pr  0.0000  0.0000  0.5000
Pm  0.5000  0.0000  0.6268
Pr  0.0000  0.0000  0.7537
Pm  0.5000  0.0000  0.1194
Pm  0.0000  0.5000  0.3732
Pm  0.5000  0.5000  0.7543
Pm  0.5000  0.5000  0.5000
Sc  0.0000  0.0000  0.0000
Pm  0.0000  0.5000  0.8806

Calculated values
N(E_F): 1.548 states/eV per atom
magnetization: 0.000 μB per formula unit
DFT formation energy: 22 meV/atom
electronic total energy: -4.833 eV per atom
space group: P4/mmm, No. 123

[4]
DFT (PBE) results for a relaxed Pm4Sb2SeN2 crystal.

a b c (Å): 4.1776 8.5187 8.2538
angles (deg): 117.43 104.66 90.00
Atoms (fractional coordinates):
Pm  0.4749  0.2228  0.9499
Sb  0.1013  0.5539  0.2027
Se  0.0000  0.0000  0.0000
Pm  0.7745  0.8624  0.5490
N  0.3230  0.0113  0.6459
Sb  0.8987  0.4461  0.7973
Pm  0.2255  0.1376  0.4510
Pm  0.5251  0.7772  0.0501
N  0.6770  0.9887  0.3541

Calculated values
N(E_F): 0.131 states/eV per atom
magnetization: 0.000 μB per formula unit
E_form (uncorrected): -1.297 eV per atom
electronic total energy: -6.562 eV per atom
space group: C2/m, No. 12